DFT (GGA-PBE) results for an optimized crystal structure of Rb2BiI7.

Geometry as POSCAR:
```
Rb2BiI7
1.0
-2.538 -5.129 -7.410
7.914 2.414 -4.382
5.495 -6.208 -3.500
I Bi Rb
7 1 2
direct
0.500 0.500 0.000
0.251 0.251 0.498
0.749 0.749 0.502
0.232 0.232 0.000
0.768 0.768 0.000
0.768 0.232 0.000
0.232 0.768 0.000
0.000 0.000 0.000
0.750 0.250 0.500
0.250 0.750 0.500
```

Results
**Fermi-level density of states**: 4.901 states/eV per cell
**ΔE_f (raw)**: -0.6626 eV per atom
**M_tot**: 0.00 μB/atom
**Total DFT energy (no corrections)**: -23.29 eV for the cell shown



DFT (GGA-PBE) results for an optimized crystal structure of Sc5In2Rh2Au.

Geometry as POSCAR:
```
Sc5In2Rh2Au
1.0
3.418 0.000 0.000
0.000 11.059 0.000
0.000 0.000 11.059
Sc In Rh Au
10 4 4 2
direct
0.500 0.199 0.076
0.500 0.801 0.924
0.500 0.076 0.801
0.500 0.699 0.424
0.500 0.924 0.199
0.500 0.301 0.576
0.500 0.576 0.699
0.500 0.424 0.301
0.500 0.500 0.000
0.500 0.000 0.500
0.000 0.670 0.170
0.000 0.330 0.830
0.000 0.170 0.330
0.000 0.830 0.670
0.000 0.134 0.634
0.000 0.866 0.366
0.000 0.634 0.866
0.000 0.366 0.134
0.000 0.000 0.000
0.000 0.500 0.500
```

Results
**Fermi-level density of states**: 8.272 states/eV per cell
**M_tot**: 0.00 μB/atom
**Total DFT energy (no corrections)**: -123.89 eV for the cell shown